No. 1
Compound: PrZnBi2O6
Source: Alexandria via LeMat-Bulk
Functional: PBE
Structure: relaxed

Geometry as CIF:
```
data_PrZnBi2O6
_cell_length_a 8.418
_cell_length_b 8.418
_cell_length_c 8.418
_cell_angle_alpha 90.00
_cell_angle_beta 90.00
_cell_angle_gamma 90.00
_symmetry_space_group_name_H-M 'F m -3 m'
_symmetry_Int_Tables_number 225
_symmetry_space_group_name_Hall '-F 4 2 3'
loop_
_atom_site_label
_atom_site_fract_x
_atom_site_fract_y
_atom_site_fract_z
Pr1 0.000 0.000 0.000
Zn1 0.000 0.000 0.500
Bi1 0.250 0.250 0.250
O1 0.000 0.000 0.268
```

Summary:
Offset from the most stable computed form, meV/atom: 621
VASP energy, eV/atom: -5.407
Total moment, μB per cell: 0.001
V, Å³/cell: 596.4


No. 2
Compound: K2HfPbO4
Source: Alexandria via LeMat-Bulk
Functional: PBE
Structure: relaxed

Geometry as CIF:
```
data_K2HfPbO4
_cell_length_a 6.332
_cell_length_b 3.390
_cell_length_c 6.573
_cell_angle_alpha 90.00
_cell_angle_beta 109.08
_cell_angle_gamma 90.00
_symmetry_space_group_name_H-M 'P 1 2/m 1'
_symmetry_Int_Tables_number 10
loop_
_symmetry_equiv_pos_as_xyz
'x,y,z'
'-x,-y,-z'
'-x,y,-z'
'x,-y,z'
loop_
_atom_site_label
_atom_site_fract_x
_atom_site_fract_y
_atom_site_fract_z
K1 0.000 0.000 0.000
K2 0.500 0.500 0.000
Hf1 0.000 0.500 0.500
Pb1 0.500 0.000 0.500
O1 0.190 0.000 0.684
O2 0.208 0.500 0.311
```

Summary:
VASP energy, eV/atom: -6.542
Total moment, μB per cell: 0.000
V, Å³/cell: 133.3


No. 3
Compound: KFeAs2
Source: Alexandria via LeMat-Bulk
Functional: PBE
Structure: relaxed

Geometry as CIF:
```
data_KFeAs2
_cell_length_a 3.8943
_cell_length_b 3.8943
_cell_length_c 20.4405
_cell_angle_alpha 90.00
_cell_angle_beta 90.00
_cell_angle_gamma 120.00
_symmetry_space_group_name_H-M 'R -3 m'
_symmetry_Int_Tables_number 166
_symmetry_space_group_name_Hall '-R 3 2"'
loop_
_atom_site_label
_atom_site_fract_x
_atom_site_fract_y
_atom_site_fract_z
K1 0.0000 0.0000 0.0000
Fe1 0.0000 0.0000 0.5000
As1 0.0000 0.0000 0.2138
```

Summary:
Offset from the most stable computed form, meV/atom: 0
VASP energy, eV/atom: -4.860
Calculated formation energy, eV/f.u.: -0.58
Total moment, μB per cell: 5.851
V, Å³/cell: 268.5